Density functional theory data (PBEsol) for an optimized crystal structure of ReNi5.

Cell and atoms, written as extended XYZ:
```
6
Lattice="-1.767 1.285 -1.282 -1.783 -3.501 -1.050 -2.787 -0.371 5.969" Properties=species:S:1:pos:R:3 pbc="T T T"
Ni -0.009 0.001 0.013
Ni -2.102 0.732 1.128
Ni -2.411 0.178 3.501
Ni -2.207 -1.076 -0.539
Ni -2.514 -1.630 1.831
Re -4.645 -0.896 3.000
```

Properties
Energy of formation from the pure elements   26.5 meV per atom
Crystal system   orthorhombic
Energy above the lowest structure with this stoichiometry   49 meV/atom


Density functional theory data (PBEsol) for an optimized crystal structure of Hf2TaGa2.

Cell and atoms, written as extended XYZ:
```
10
Lattice="-3.263 1.421 0.651 0.681 -1.550 6.796 2.948 6.252 1.131" Properties=species:S:1:pos:R:3 pbc="T T T"
Hf 0.487 4.671 2.298
Hf 1.254 4.802 5.860
Hf -0.121 1.451 6.280
Hf -0.889 1.320 2.718
Ga 2.834 4.888 3.536
Ga 2.439 2.553 6.652
Ga 0.795 -0.186 4.391
Ga 1.190 2.149 1.275
Ta 0.000 0.000 0.000
Ta 1.814 2.351 3.964
```

Properties
Energy of formation from the pure elements   -447.1 meV per atom
Crystal system   tetragonal


Density functional theory data (PBEsol) for an optimized crystal structure of IrCS2N.

Cell and atoms, written as extended XYZ:
```
5
Lattice="3.606 0.000 0.000 0.000 4.723 0.000 0.000 0.000 4.723" Properties=species:S:1:pos:R:3 pbc="T T T"
S 0.000 0.000 2.361
S 0.000 2.361 0.000
Ir 0.000 0.000 0.000
C 1.803 2.361 2.361
N 1.803 0.000 0.000
```

Properties
Formation energy without anion corrections   1.825 eV/atom
Crystal system   tetragonal


Density functional theory data (PBEsol) for an optimized crystal structure of InFe3Pb.

Cell and atoms, written as extended XYZ:
```
5
Lattice="-4.382 -1.234 1.677 2.022 -3.451 2.745 0.494 3.179 3.631" Properties=species:S:1:pos:R:3 pbc="T T T"
Pb 0.000 0.000 0.000
Fe 1.011 -1.725 1.373
Fe 0.247 1.589 1.816
Fe -2.191 -0.617 0.838
In -0.933 -0.753 4.027
```

Properties
Energy of formation from the pure elements   1564.0 meV per atom
Crystal system   cubic


Density functional theory data (PBEsol) for an optimized crystal structure of Ca2LaSe.

Cell and atoms, written as extended XYZ:
```
4
Lattice="-0.337 -3.313 1.415 3.470 -0.680 -0.767 2.489 3.303 8.325" Properties=species:S:1:pos:R:3 pbc="T T T"
Ca 1.700 2.256 5.686
Ca 0.789 1.047 2.639
Se 2.811 -0.345 4.486
La 1.567 -1.997 0.324
```

Properties
Formation energy without anion corrections   -0.789 eV/atom
Crystal system   tetragonal


Density functional theory data (PBEsol) for an optimized crystal structure of ZrTaCoNi2.

Cell and atoms, written as extended XYZ:
```
5
Lattice="4.304 0.000 0.000 0.000 4.304 0.000 0.000 0.000 4.327" Properties=species:S:1:pos:R:3 pbc="T T T"
Ni 0.000 2.152 0.000
Ni 2.152 0.000 0.000
Co 0.000 0.000 0.000
Zr 2.152 2.152 2.163
Ta 0.000 0.000 2.163
```

Properties
Energy of formation from the pure elements   594.0 meV per atom
Crystal system   tetragonal


> Which formula does entry 3 have?

IrCS2N